# CoAgSbTe2

CoAgSbTe2 after structural relaxation (PBE, the Alexandria database).

The structure in CIF format:
```
data_CoAgSbTe2
_chemical_formula_sum 'Co1 Ag1 Sb1 Te2'
_cell_length_a 5.468
_cell_length_b 5.468
_cell_length_c 5.215
_cell_angle_alpha 90.00
_cell_angle_beta 90.00
_cell_angle_gamma 90.00
_space_group_name_H-M_alt 'P 4/m m m'
_space_group_IT_number 123
_space_group_name_Hall '-P 4 2'
loop_
_atom_site_label
_atom_site_fract_x
_atom_site_fract_y
_atom_site_fract_z
Co1 0.000 0.000 0.000
Ag1 0.500 0.500 0.500
Sb1 0.500 0.500 0.000
Te1 0.000 0.500 0.500
```

Properties
- Formation energy from raw total energies: 5.8 eV/f.u.
- Electronic total energy: -14.61 eV/cell
- Energy relative to the lowest polymorph listed for this composition: 730 meV/atom